The following is a DFT calculation (PBE) of an optimized crystal structure of BaCdTc2.

Cell lengths 3.656, 5.106, 6.046 Å; angles 90.00, 99.08, 90.00 degrees
Fractional coordinates of all 4 atoms:
Ba1 0.000 0.000 0.000
Cd1 0.500 0.000 0.500
Tc1 0.280 0.500 0.619
Tc2 0.720 0.500 0.381

Values from the calculation:
- DOS(E_F) (states/eV/atom) = 1.217
- energy relative to the elements (eV/atom) = 0.67

The following is a DFT calculation (PBE) of an optimized crystal structure of BaCd2Tc.

Cell lengths 10.729, 10.729, 10.729 Å; angles 17.34, 17.34, 17.34 degrees
Fractional coordinates of all 4 atoms:
Ba1 0.000 0.000 0.000
Cd1 0.236 0.236 0.236
Cd2 0.764 0.764 0.764
Tc1 0.500 0.500 0.500

Values from the calculation:
- DOS(E_F) (states/eV/atom) = 0.788
- energy relative to the elements (eV/atom) = 0.64
- excess energy over the best structure of this formula in the dataset (eV/f.u.) = 1.02

The following is a DFT calculation (PBE) of an optimized crystal structure of Ba2Cd2Tc.

Cell lengths 8.566, 8.566, 4.965 Å; angles 90.00, 90.00, 90.00 degrees
Fractional coordinates of all 10 atoms:
Ba1 0.167 0.333 0.000
Ba2 0.333 0.833 0.000
Ba3 0.667 0.167 0.000
Ba4 0.833 0.667 0.000
Cd1 0.136 0.636 0.500
Cd2 0.364 0.136 0.500
Cd3 0.636 0.864 0.500
Cd4 0.864 0.364 0.500
Tc1 0.000 0.000 0.000
Tc2 0.500 0.500 0.000

Values from the calculation:
- DOS(E_F) (states/eV/atom) = 0.852
- energy relative to the elements (eV/atom) = 0.69
- excess energy over the best structure of this formula in the dataset (eV/f.u.) = 0.87

What did the first record say?
The following is a DFT calculation (PBE) of an optimized crystal structure of BaCdTc2.

Cell lengths 3.656, 5.106, 6.046 Å; angles 90.00, 99.08, 90.00 degrees
Fractional coordinates of all 4 atoms:
Ba1 0.000 0.000 0.000
Cd1 0.500 0.000 0.500
Tc1 0.280 0.500 0.619
Tc2 0.720 0.500 0.381

Values from the calculation:
- DOS(E_F) (states/eV/atom) = 1.217
- energy relative to the elements (eV/atom) = 0.67

The lowest DOS(E_F) belongs to which entry?
BaCd2Tc

Which value of energy relative to the elements does entry 1 give?
0.67 eV/atom

Among the records above, which one has the lowest energy relative to the elements?
BaCd2Tc